! YTa3I (GGA-PBE, relaxed); values from VASP
! Energy relative to the lowest polymorph listed for this composition   0.0 meV/atom
! DOS(E_F)   1.24 states/eV per atom
! Raw formation energy   1564 meV/atom
! Magnetization   0.00 Bohr magnetons per cell
&SYSTEM
  ibrav = 0, nat = 5, ntyp = 3
/
ATOMIC_SPECIES
I 126.90 I.upf
Y 88.91 Y.upf
Ta 180.95 Ta.upf
CELL_PARAMETERS angstrom
-4.9963 -0.4282 0.5172
0.6374 -1.8037 4.6641
-0.2112 4.6880 1.8417
ATOMIC_POSITIONS angstrom
I 0.0000 0.0000 0.0000
Y -2.2850 1.2280 3.5115
Ta 0.3187 -0.9018 2.3321
Ta -0.1056 2.3440 0.9209
Ta -2.4981 -0.2141 0.2586